Here is an optimized crystal structure of TlPtWO6 from Alexandria. Energies are from GGA+U.

The structure belongs to space group Imma (No. 74); the cell edges are 7.151, 7.410 and 10.404 Å and the angles 90.00°, 90.00° and 90.00°. Symmetry generates all atoms from Tl at (0.000, 0.250, 0.106), Pt at (0.250, 0.250, 0.750), W at (0.000, 0.000, 0.500), O at (0.000, 0.250, 0.440), O at (0.000, 0.250, 0.826) and O at (0.195, 0.057, 0.622).

For the total magnetization, the calculation gives 0.0 μB/f.u. The total DFT energy (no corrections) comes out at -222.73 eV per cell.